Rb3ErBr6: optimized geometry, GGA-PBE.

abc: 9.6107 9.6107 9.6107
angles: 91.67 91.67 91.67
With the nearest neighbours (Å) after each atom.
Atoms (fractional coordinates):
Rb (0.0734, 0.5743, 0.7531)  6 Br 3.46-3.54
Rb (0.2469, 0.9266, 0.4257)  6 Br 3.46-3.54
Rb (0.4257, 0.2469, 0.9266)  6 Br 3.46-3.54
Rb (0.5743, 0.7531, 0.0734)  6 Br 3.46-3.54
Rb (0.7531, 0.0734, 0.5743)  6 Br 3.46-3.54
Rb (0.9266, 0.4257, 0.2469)  6 Br 3.46-3.54
Er (0.0000, 0.0000, 0.0000)  6 Br 2.80
Er (0.5000, 0.5000, 0.5000)  6 Br 2.80
Br (0.0487, 0.9307, 0.7215)  1 Er 2.80
Br (0.0693, 0.2785, 0.9513)  1 Er 2.80
Br (0.2239, 0.5578, 0.4260)  1 Er 2.80
Br (0.2785, 0.9513, 0.0693)  1 Er 2.80
Br (0.4260, 0.2239, 0.5578)  1 Er 2.80
Br (0.4422, 0.5740, 0.7761)  1 Er 2.80
Br (0.5578, 0.4260, 0.2239)  1 Er 2.80
Br (0.5740, 0.7761, 0.4422)  1 Er 2.80
Br (0.7215, 0.0487, 0.9307)  1 Er 2.80
Br (0.7761, 0.4422, 0.5740)  1 Er 2.80
Br (0.9307, 0.7215, 0.0487)  1 Er 2.80
Br (0.9513, 0.0693, 0.2785)  1 Er 2.80

Total DFT energy (no corrections), eV/atom: -3.587
Uncorrected formation energy, eV/atom: -1.836

Al2ReAs: optimized geometry, GGA-PBE.

abc: 3.0061 3.0061 7.3437
angles: 90.00 90.00 90.00
With the nearest neighbours (Å) after each atom.
Atoms (fractional coordinates):
Al (0.0000, 0.0000, 0.0000)  4 Re 2.70, 8 Al 2.94-3.01
Al (0.5000, 0.5000, 0.2757)  8 Al 2.94-3.01, 4 As 3.05
Re (0.5000, 0.5000, 0.7735)  4 As 2.58, 4 Al 2.70
As (0.0000, 0.0000, 0.5743)  4 Re 2.58

Formation energy from the elements, meV per atom: 62.2
Total DFT energy (no corrections), eV/atom: -6.083

Pr6TmCd3: optimized geometry, GGA-PBE.

abc: 10.5968 10.5968 6.8876
angles: 90.00 90.00 123.89
With the nearest neighbours (Å) after each atom.
Atoms (fractional coordinates):
Pr (0.0524, 0.9476, 0.5000)  2 Cd 3.26, 1 Tm 3.39
Pr (0.0939, 0.5142, 0.1060)  3 Cd 3.23-3.27, 3 Pr 3.31-3.59, 1 Tm 3.58
Pr (0.2672, 0.3602, 0.3098)  4 Cd 3.25-3.51, 1 Pr 3.37
Pr (0.2765, 0.7235, 0.5415)  4 Pr 3.31-3.59, 3 Cd 3.46-3.53, 1 Tm 3.61
Pr (0.3602, 0.2672, 0.8098)  4 Cd 3.25-3.51, 1 Pr 3.37
Pr (0.4858, 0.9061, 0.1060)  3 Cd 3.23-3.27, 3 Pr 3.31-3.59, 1 Tm 3.58
Pr (0.5142, 0.0939, 0.6060)  3 Cd 3.23-3.27, 3 Pr 3.31-3.59, 1 Tm 3.58
Pr (0.6398, 0.7328, 0.3098)  4 Cd 3.25-3.51, 1 Pr 3.37
Pr (0.7235, 0.2765, 0.0415)  4 Pr 3.31-3.59, 3 Cd 3.46-3.53, 1 Tm 3.61
Pr (0.7328, 0.6398, 0.8098)  4 Cd 3.25-3.51, 1 Pr 3.37
Pr (0.9061, 0.4858, 0.6060)  3 Cd 3.23-3.27, 3 Pr 3.31-3.59, 1 Tm 3.58
Pr (0.9476, 0.0524, 0.0000)  2 Cd 3.26, 1 Tm 3.39
Tm (0.1445, 0.8555, 0.9237)  2 Cd 3.09, 1 Pr 3.39
Tm (0.8555, 0.1445, 0.4237)  2 Cd 3.09, 1 Pr 3.39
Cd (0.1084, 0.3505, 0.7192)  1 Cd 3.01, 1 Tm 3.09, 5 Pr 3.23-3.30
Cd (0.3505, 0.1084, 0.2192)  1 Cd 3.01, 1 Tm 3.09, 5 Pr 3.23-3.30
Cd (0.4073, 0.5927, 0.8962)  2 Cd 3.01, 4 Pr 3.25-3.27
Cd (0.5927, 0.4073, 0.3962)  2 Cd 3.01, 4 Pr 3.25-3.27
Cd (0.6495, 0.8916, 0.7192)  1 Cd 3.01, 1 Tm 3.09, 5 Pr 3.23-3.30
Cd (0.8916, 0.6495, 0.2192)  1 Cd 3.01, 1 Tm 3.09, 5 Pr 3.23-3.30

Formation energy from the elements, meV per atom: -74.3
Total DFT energy (no corrections), eV/atom: -3.664

K2RbSm: optimized geometry, GGA-PBE.

abc: 4.0066 4.0066 48.3343
angles: 90.00 90.00 120.00
With the nearest neighbours (Å) after each atom.
Atoms (fractional coordinates):
K (0.0000, 0.0000, 0.0783)  1 Sm 3.79, 6 K 4.01
K (0.0000, 0.0000, 0.9217)  1 Sm 3.79, 6 K 4.01
K (0.3333, 0.6667, 0.5884)  1 Sm 3.79, 6 K 4.01
K (0.3333, 0.6667, 0.7450)  1 Sm 3.79, 6 K 4.01
K (0.6667, 0.3333, 0.2550)  1 Sm 3.79, 6 K 4.01
K (0.6667, 0.3333, 0.4116)  1 Sm 3.79, 6 K 4.01
Rb (0.0000, 0.0000, 0.5000)  6 Rb 4.01
Rb (0.3333, 0.6667, 0.1667)  6 Rb 4.01
Rb (0.6667, 0.3333, 0.8333)  6 Rb 4.01
Sm (0.0000, 0.0000, 0.0000)  2 K 3.79, 6 Sm 4.01
Sm (0.3333, 0.6667, 0.6667)  2 K 3.79, 6 Sm 4.01
Sm (0.6667, 0.3333, 0.3333)  2 K 3.79, 6 Sm 4.01

Formation energy from the elements, meV per atom: 421.2
Total DFT energy (no corrections), eV/atom: -1.549

TbInGa: optimized geometry, GGA-PBE.

abc: 4.7269 4.7269 3.5718
angles: 90.00 90.00 120.00
With the nearest neighbours (Å) after each atom.
Atoms (fractional coordinates):
Tb (0.0000, 0.0000, 0.0000)  6 Ga 3.20-3.33, 6 In 3.24-3.28, 2 Tb 3.57
In (0.6667, 0.3333, 0.4882)  3 Ga 2.73
Ga (0.3333, 0.6667, 0.5342)  3 In 2.73

Formation energy from the elements, meV per atom: -482.1
Total DFT energy (no corrections), eV/atom: -3.947

Pm12As5Ru3: optimized geometry, GGA-PBE.

abc: 14.7872 14.7872 14.7872
angles: 109.47 109.47 109.47
With the nearest neighbours (Å) after each atom.
Atoms (fractional coordinates):
Pm (0.0558, 0.2267, 0.1314)  2 As 2.78-2.91, 1 Ru 3.03
Pm (0.0558, 0.3291, 0.9243)  2 As 2.78-2.91, 1 Ru 3.03
Pm (0.0757, 0.6314, 0.4047)  2 As 2.78-2.91, 1 Ru 3.03
Pm (0.0757, 0.9442, 0.6709)  2 As 2.78-2.91, 1 Ru 3.03
Pm (0.0953, 0.7267, 0.6709)  2 As 2.78-2.91, 1 Ru 3.03
Pm (0.0953, 0.8686, 0.4243)  2 As 2.78-2.91, 1 Ru 3.03
Pm (0.1314, 0.0558, 0.2267)  2 As 2.78-2.91, 1 Ru 3.03
Pm (0.1314, 0.5757, 0.9047)  2 As 2.78-2.91, 1 Ru 3.03
Pm (0.1709, 0.2267, 0.5953)  2 As 2.78-2.91, 1 Ru 3.03
Pm (0.1709, 0.4442, 0.5757)  2 As 2.78-2.91, 1 Ru 3.03
Pm (0.2267, 0.1314, 0.0558)  2 As 2.78-2.91, 1 Ru 3.03
Pm (0.2267, 0.5953, 0.1709)  2 As 2.78-2.91, 1 Ru 3.03
Pm (0.2733, 0.3291, 0.9047)  2 As 2.78-2.91, 1 Ru 3.03
Pm (0.2733, 0.4442, 0.3686)  2 As 2.78-2.91, 1 Ru 3.03
Pm (0.3291, 0.9047, 0.2733)  2 As 2.78-2.91, 1 Ru 3.03
Pm (0.3291, 0.9243, 0.0558)  2 As 2.78-2.91, 1 Ru 3.03
Pm (0.3686, 0.2733, 0.4442)  2 As 2.78-2.91, 1 Ru 3.03
Pm (0.3686, 0.5953, 0.9243)  2 As 2.78-2.91, 1 Ru 3.03
Pm (0.4047, 0.0757, 0.6314)  2 As 2.78-2.91, 1 Ru 3.03
Pm (0.4047, 0.8291, 0.7733)  2 As 2.78-2.91, 1 Ru 3.03
Pm (0.4243, 0.0953, 0.8686)  2 As 2.78-2.91, 1 Ru 3.03
Pm (0.4243, 0.8291, 0.5558)  2 As 2.78-2.91, 1 Ru 3.03
Pm (0.4442, 0.3686, 0.2733)  2 As 2.78-2.91, 1 Ru 3.03
Pm (0.4442, 0.5757, 0.1709)  2 As 2.78-2.91, 1 Ru 3.03
Pm (0.5558, 0.4243, 0.8291)  2 As 2.78-2.91, 1 Ru 3.03
Pm (0.5558, 0.6314, 0.7267)  2 As 2.78-2.91, 1 Ru 3.03
Pm (0.5757, 0.1709, 0.4442)  2 As 2.78-2.91, 1 Ru 3.03
Pm (0.5757, 0.9047, 0.1314)  2 As 2.78-2.91, 1 Ru 3.03
Pm (0.5953, 0.1709, 0.2267)  2 As 2.78-2.91, 1 Ru 3.03
Pm (0.5953, 0.9243, 0.3686)  2 As 2.78-2.91, 1 Ru 3.03
Pm (0.6314, 0.4047, 0.0757)  2 As 2.78-2.91, 1 Ru 3.03
Pm (0.6314, 0.7267, 0.5558)  2 As 2.78-2.91, 1 Ru 3.03
Pm (0.6709, 0.0757, 0.9442)  2 As 2.78-2.91, 1 Ru 3.03
Pm (0.6709, 0.0953, 0.7267)  2 As 2.78-2.91, 1 Ru 3.03
Pm (0.7267, 0.5558, 0.6314)  2 As 2.78-2.91, 1 Ru 3.03
Pm (0.7267, 0.6709, 0.0953)  2 As 2.78-2.91, 1 Ru 3.03
Pm (0.7733, 0.4047, 0.8291)  2 As 2.78-2.91, 1 Ru 3.03
Pm (0.7733, 0.8686, 0.9442)  2 As 2.78-2.91, 1 Ru 3.03
Pm (0.8291, 0.5558, 0.4243)  2 As 2.78-2.91, 1 Ru 3.03
Pm (0.8291, 0.7733, 0.4047)  2 As 2.78-2.91, 1 Ru 3.03
Pm (0.8686, 0.4243, 0.0953)  2 As 2.78-2.91, 1 Ru 3.03
Pm (0.8686, 0.9442, 0.7733)  2 As 2.78-2.91, 1 Ru 3.03
Pm (0.9047, 0.1314, 0.5757)  2 As 2.78-2.91, 1 Ru 3.03
Pm (0.9047, 0.2733, 0.3291)  2 As 2.78-2.91, 1 Ru 3.03
Pm (0.9243, 0.0558, 0.3291)  2 As 2.78-2.91, 1 Ru 3.03
Pm (0.9243, 0.3686, 0.5953)  2 As 2.78-2.91, 1 Ru 3.03
Pm (0.9442, 0.6709, 0.0757)  2 As 2.78-2.91, 1 Ru 3.03
Pm (0.9442, 0.7733, 0.8686)  2 As 2.78-2.91, 1 Ru 3.03
As (0.0000, 0.0000, 0.0000)  6 Pm 2.91
As (0.0000, 0.0000, 0.5000)  6 Pm 2.91
As (0.0000, 0.5000, 0.0000)  6 Pm 2.91
As (0.0000, 0.5000, 0.5000)  6 Pm 2.91
As (0.1250, 0.7500, 0.8750)  4 Pm 2.78
As (0.1250, 0.8750, 0.2500)  4 Pm 2.78
As (0.2500, 0.1250, 0.8750)  4 Pm 2.78
As (0.2500, 0.6250, 0.3750)  4 Pm 2.78
As (0.3750, 0.2500, 0.6250)  4 Pm 2.78
As (0.3750, 0.6250, 0.7500)  4 Pm 2.78
As (0.5000, 0.0000, 0.0000)  6 Pm 2.91
As (0.5000, 0.0000, 0.5000)  6 Pm 2.91
As (0.5000, 0.5000, 0.0000)  6 Pm 2.91
As (0.5000, 0.5000, 0.5000)  6 Pm 2.91
As (0.6250, 0.3750, 0.2500)  4 Pm 2.78
As (0.6250, 0.7500, 0.3750)  4 Pm 2.78
As (0.7500, 0.3750, 0.6250)  4 Pm 2.78
As (0.7500, 0.8750, 0.1250)  4 Pm 2.78
As (0.8750, 0.1250, 0.7500)  4 Pm 2.78
As (0.8750, 0.2500, 0.1250)  4 Pm 2.78
Ru (0.1250, 0.2500, 0.3750)  8 Pm 3.03-3.26
Ru (0.1250, 0.3750, 0.7500)  8 Pm 3.03-3.26
Ru (0.2500, 0.3750, 0.1250)  8 Pm 3.03-3.26
Ru (0.2500, 0.8750, 0.6250)  8 Pm 3.03-3.26
Ru (0.3750, 0.1250, 0.2500)  8 Pm 3.03-3.26
Ru (0.3750, 0.7500, 0.1250)  8 Pm 3.03-3.26
Ru (0.6250, 0.2500, 0.8750)  8 Pm 3.03-3.26
Ru (0.6250, 0.8750, 0.7500)  8 Pm 3.03-3.26
Ru (0.7500, 0.1250, 0.3750)  8 Pm 3.03-3.26
Ru (0.7500, 0.6250, 0.8750)  8 Pm 3.03-3.26
Ru (0.8750, 0.6250, 0.2500)  8 Pm 3.03-3.26
Ru (0.8750, 0.7500, 0.6250)  8 Pm 3.03-3.26

Formation energy from the elements, meV per atom: -405.7
Total DFT energy (no corrections), eV/atom: -5.810

AgPbO3: optimized geometry, GGA-PBE.

abc: 4.0642 4.0642 4.0642
angles: 90.00 90.00 90.00
With the nearest neighbours (Å) after each atom.
Atoms (fractional coordinates):
Ag (0.0000, 0.0000, 0.0000)  6 O 2.03
Pb (0.5000, 0.5000, 0.5000)  12 O 2.87
O (0.0000, 0.0000, 0.5000)  2 Ag 2.03
O (0.0000, 0.5000, 0.0000)  2 Ag 2.03
O (0.5000, 0.0000, 0.0000)  2 Ag 2.03

Total DFT energy (no corrections), eV/atom: -4.428
Uncorrected formation energy, eV/atom: -0.141

NdAg4B3Pt12: optimized geometry, GGA-PBE.

abc: 7.7130 7.7130 7.7130
angles: 109.47 109.47 109.47
With the nearest neighbours (Å) after each atom.
Atoms (fractional coordinates):
Nd (0.0000, 0.0000, 0.0000)  6 Pt 2.54
Ag (0.0000, 0.0000, 0.5000)  12 Pt 3.15-3.16
Ag (0.0000, 0.5000, 0.0000)  12 Pt 3.15-3.16
Ag (0.5000, 0.0000, 0.0000)  12 Pt 3.15-3.16
Ag (0.5000, 0.5000, 0.5000)  12 Pt 3.15-3.16
B (0.0000, 0.5000, 0.5000)  2 Pt 1.91
B (0.5000, 0.0000, 0.5000)  2 Pt 1.91
B (0.5000, 0.5000, 0.0000)  2 Pt 1.91
Pt (0.0000, 0.2851, 0.2851)  1 B 1.91
Pt (0.0000, 0.7149, 0.7149)  1 B 1.91
Pt (0.2500, 0.5000, 0.7500)  2 B 2.23
Pt (0.2500, 0.7500, 0.5000)  2 B 2.23
Pt (0.2851, 0.0000, 0.2851)  1 B 1.91
Pt (0.2851, 0.2851, 0.0000)  1 B 1.91
Pt (0.5000, 0.2500, 0.7500)  2 B 2.23
Pt (0.5000, 0.7500, 0.2500)  2 B 2.23
Pt (0.7149, 0.0000, 0.7149)  1 B 1.91
Pt (0.7149, 0.7149, 0.0000)  1 B 1.91
Pt (0.7500, 0.2500, 0.5000)  2 B 2.23
Pt (0.7500, 0.5000, 0.2500)  2 B 2.23

Formation energy from the elements, meV per atom: 285.1
Total DFT energy (no corrections), eV/atom: -5.150

no.,N(E_F) (states/eV per cell)
1,0.00
2,2.73
3,23.48
4,15.61
5,0.43
6,51.54
7,3.63
8,10.51